Entry 1:
Entry from the Alexandria database: crystalline PrDy2Ni2Ge2 at its relaxed geometry (PBE).

abc: 9.7016 9.7016 9.7016
angles: 25.57 25.57 25.57
Last column: nearest neighbours and their distance in Å.
Atoms (fractional coordinates):
Pr: 0.0000 0.0000 0.0000  6 Ni 3.20, 6 Ge 3.23, 2 Dy 3.51
Dy: 0.1249 0.1249 0.1249  3 Ge 2.87, 3 Ni 2.89
Dy: 0.8751 0.8751 0.8751  3 Ge 2.87, 3 Ni 2.89
Ni: 0.4055 0.4055 0.4055  3 Ge 2.48
Ni: 0.5945 0.5945 0.5945  3 Ge 2.48
Ge: 0.2599 0.2599 0.2599  3 Ni 2.48
Ge: 0.7401 0.7401 0.7401  3 Ni 2.48

=====

Entry 2:
Entry from the Alexandria database: crystalline Dy2NiGe3Pt4 at its relaxed geometry (PBE).

abc: 4.1865 4.1865 10.4433
angles: 90.00 90.00 90.00
Last column: nearest neighbours and their distance in Å.
Atoms (fractional coordinates):
Dy: 0.0000 0.5000 0.2366  8 Pt 3.15-3.46, 6 Ge 3.24, 2 Ni 3.24
Dy: 0.5000 0.0000 0.7634  8 Pt 3.15-3.46, 6 Ge 3.24, 2 Ni 3.24
Ni: 0.5000 0.5000 0.0000  4 Pt 2.52
Ge: 0.0000 0.0000 0.0000  4 Pt 2.52
Ge: 0.0000 0.5000 0.6365  5 Pt 2.40-2.53
Ge: 0.5000 0.0000 0.3635  5 Pt 2.40-2.53
Pt: 0.0000 0.0000 0.5000  4 Ge 2.53
Pt: 0.0000 0.5000 0.8661  3 Ge 2.40-2.52, 2 Ni 2.52
Pt: 0.5000 0.0000 0.1339  3 Ge 2.40-2.52, 2 Ni 2.52
Pt: 0.5000 0.5000 0.5000  4 Ge 2.53

=====

Entry 3:
Entry from the Alexandria database: crystalline DyNiGe2Rh at its relaxed geometry (PBE).

abc: 5.8897 5.8897 5.8897
angles: 139.50 139.50 58.61
Last column: nearest neighbours and their distance in Å.
Atoms (fractional coordinates):
Dy: 0.0000 0.0000 0.0000  8 Ge 3.14, 4 Ni 3.28, 4 Rh 3.28
Ni: 0.2500 0.7500 0.5000  4 Ge 2.43
Ge: 0.3784 0.3784 0.0000  2 Ni 2.43, 2 Rh 2.43, 1 Ge 2.50
Ge: 0.6216 0.6216 0.0000  2 Ni 2.43, 2 Rh 2.43, 1 Ge 2.50
Rh: 0.7500 0.2500 0.5000  4 Ge 2.43

=====

Entry 4:
Entry from the Alexandria database: crystalline Dy2NiGe4Rh3 at its relaxed geometry (PBE).

abc: 4.1460 4.1460 10.2492
angles: 90.00 90.00 90.00
Last column: nearest neighbours and their distance in Å.
Atoms (fractional coordinates):
Dy: 0.0000 0.5000 0.2481  6 Rh 3.16-3.31, 8 Ge 3.19-3.28, 2 Ni 3.31
Dy: 0.5000 0.0000 0.7519  6 Rh 3.16-3.31, 8 Ge 3.19-3.28, 2 Ni 3.31
Ni: 0.0000 0.0000 0.5000  4 Ge 2.46
Ge: 0.0000 0.0000 0.0000  4 Rh 2.48
Ge: 0.0000 0.5000 0.6297  3 Rh 2.43-2.46, 2 Ni 2.46
Ge: 0.5000 0.0000 0.3703  3 Rh 2.43-2.46, 2 Ni 2.46
Ge: 0.5000 0.5000 0.0000  4 Rh 2.48
Rh: 0.0000 0.5000 0.8667  5 Ge 2.43-2.48
Rh: 0.5000 0.0000 0.1333  5 Ge 2.43-2.48
Rh: 0.5000 0.5000 0.5000  4 Ge 2.46

=====

Number 1: size of the total moment 0.000 μB per formula unit, DFT formation energy -619 meV per atom. Number 2: size of the total moment 0.000 μB per formula unit, DFT formation energy -823 meV per atom. Number 3: size of the total moment 0.007 μB per formula unit, DFT formation energy -745 meV per atom. Number 4: size of the total moment 0.000 μB per formula unit, DFT formation energy -772 meV per atom.